The following is a PBE calculation of a relaxed U3S5 crystal, from Alexandria.

Offset from the most stable computed form ... 0.0782 eV per atom
Total moment ... 31.07 μB per cell
E_form (uncorrected) ... -10.64 eV/f.u.

```
data_U3S5
_cell_length_a 10.418
_cell_length_b 10.418
_cell_length_c 5.991
_cell_angle_alpha 90.00
_cell_angle_beta 90.00
_cell_angle_gamma 90.00
_symmetry_space_group_name_H-M 'I 4/m c m'
_symmetry_Int_Tables_number 140
_symmetry_space_group_name_Hall '-I 4 2c'
loop_
_atom_site_label
_atom_site_fract_x
_atom_site_fract_y
_atom_site_fract_z
U1 0.000 0.000 0.250
U2 0.156 0.344 0.000
S1 0.000 0.500 0.250
S2 0.081 0.214 0.500
```

The following is a PBE calculation of a relaxed LaHg2Au crystal, from Alexandria.

Total moment ... 0.00 μB per cell
E ... -2.63 eV/atom

```
data_LaHg2Au
_cell_length_a 3.790
_cell_length_b 4.229
_cell_length_c 6.915
_cell_angle_alpha 90.00
_cell_angle_beta 105.06
_cell_angle_gamma 90.00
_symmetry_space_group_name_H-M 'P 1 m 1'
_symmetry_Int_Tables_number 6
loop_
_symmetry_equiv_pos_as_xyz
'x,y,z'
'x,-y,z'
loop_
_atom_site_label
_atom_site_fract_x
_atom_site_fract_y
_atom_site_fract_z
La1 0.000 0.000 0.000
Hg1 0.363 0.500 0.704
Hg2 0.759 0.000 0.485
Au1 0.590 0.500 0.191
```

The following is a PBE calculation of a relaxed PrBiSb2 crystal, from Alexandria.

Offset from the most stable computed form ... 0.1660 eV per atom
Total moment ... 0.00 μB per cell
E_form (uncorrected) ... -1.34 eV/f.u.

```
data_PrBiSb2
_cell_length_a 5.786
_cell_length_b 3.991
_cell_length_c 11.839
_cell_angle_alpha 90.00
_cell_angle_beta 90.00
_cell_angle_gamma 90.00
_symmetry_space_group_name_H-M 'A m m 2'
_symmetry_Int_Tables_number 38
loop_
_symmetry_equiv_pos_as_xyz
'x,y,z'
'-x,-y,z'
'-x,y,z'
'x,-y,z'
'x,y+1/2,z+1/2'
'-x,-y+1/2,z+1/2'
'-x,y+1/2,z+1/2'
'x,-y+1/2,z+1/2'
loop_
_atom_site_label
_atom_site_fract_x
_atom_site_fract_y
_atom_site_fract_z
Pr1 0.000 0.000 0.000
Bi1 0.500 0.000 0.218
Sb1 0.000 0.000 0.284
Sb2 0.500 0.000 0.523
```

The following is a PBE calculation of a relaxed AcIn6Ag6 crystal, from Alexandria.

Total moment ... 0.00 μB per cell
E ... -3.08 eV/atom

```
data_AcIn6Ag6
_cell_length_a 5.873
_cell_length_b 9.882
_cell_length_c 9.988
_cell_angle_alpha 90.00
_cell_angle_beta 90.00
_cell_angle_gamma 90.00
_symmetry_space_group_name_H-M 'I m m m'
_symmetry_Int_Tables_number 71
_symmetry_space_group_name_Hall '-I 2 2'
loop_
_atom_site_label
_atom_site_fract_x
_atom_site_fract_y
_atom_site_fract_z
Ac1 0.000 0.000 0.000
In1 0.000 0.000 0.350
In2 0.000 0.348 0.000
In3 0.000 0.500 0.301
Ag1 0.000 0.273 0.500
Ag2 0.250 0.250 0.250
```

The following is a PBE calculation of a relaxed ErAl3Ag crystal, from Alexandria.

Offset from the most stable computed form ... 0.0148 eV per atom
Total moment ... 0.00 μB per cell

```
data_ErAl3Ag
_cell_length_a 5.713
_cell_length_b 5.775
_cell_length_c 5.848
_cell_angle_alpha 90.00
_cell_angle_beta 92.27
_cell_angle_gamma 90.00
_symmetry_space_group_name_H-M 'P 1 21/m 1'
_symmetry_Int_Tables_number 11
loop_
_symmetry_equiv_pos_as_xyz
'x,y,z'
'-x,-y,-z'
'-x,y+1/2,-z'
'x,-y+1/2,z'
loop_
_atom_site_label
_atom_site_fract_x
_atom_site_fract_y
_atom_site_fract_z
Er1 0.152 0.250 0.165
Al1 0.059 0.750 0.352
Al2 0.338 0.002 0.662
Ag1 0.366 0.750 0.042
```

The following is a PBE calculation of a relaxed LiSc2Pt2 crystal, from Alexandria.

Offset from the most stable computed form ... 0.0000 eV per atom
Total moment ... 0.00 μB per cell

```
data_LiSc2Pt2
_cell_length_a 4.115
_cell_length_b 5.639
_cell_length_c 7.741
_cell_angle_alpha 90.00
_cell_angle_beta 90.00
_cell_angle_gamma 90.00
_symmetry_space_group_name_H-M 'I m m m'
_symmetry_Int_Tables_number 71
_symmetry_space_group_name_Hall '-I 2 2'
loop_
_atom_site_label
_atom_site_fract_x
_atom_site_fract_y
_atom_site_fract_z
Li1 0.000 0.000 0.000
Sc1 0.000 0.500 0.200
Pt1 0.000 0.239 0.500
```

The following is a PBE calculation of a relaxed K7Rb8 crystal, from Alexandria.

Total moment ... 0.00 μB per cell
E ... -1.02 eV/atom

```
data_K7Rb8
_cell_length_a 16.786
_cell_length_b 16.786
_cell_length_c 8.790
_cell_angle_alpha 90.00
_cell_angle_beta 90.00
_cell_angle_gamma 90.00
_symmetry_space_group_name_H-M 'P 42/m n m'
_symmetry_Int_Tables_number 136
_symmetry_space_group_name_Hall '-P 4n 2n'
loop_
_atom_site_label
_atom_site_fract_x
_atom_site_fract_y
_atom_site_fract_z
K1 0.000 0.000 0.000
K2 0.068 0.258 0.000
K3 0.097 0.097 0.500
Rb1 0.038 0.366 0.500
Rb2 0.181 0.819 0.251
```

The following is a PBE calculation of a relaxed LiSi2P crystal, from Alexandria.

Total moment ... 0.00 μB per cell
E_form (uncorrected) ... 0.08 eV/f.u.

```
data_LiSi2P
_cell_length_a 6.634
_cell_length_b 3.415
_cell_length_c 11.098
_cell_angle_alpha 90.00
_cell_angle_beta 90.00
_cell_angle_gamma 90.00
_symmetry_space_group_name_H-M 'P n m a'
_symmetry_Int_Tables_number 62
loop_
_symmetry_equiv_pos_as_xyz
'x,y,z'
'-x,-y,-z'
'-x+1/2,-y,z+1/2'
'x+1/2,y,-z+1/2'
'x+1/2,-y+1/2,-z+1/2'
'-x+1/2,y+1/2,z+1/2'
'-x,y+1/2,-z'
'x,-y+1/2,z'
loop_
_atom_site_label
_atom_site_fract_x
_atom_site_fract_y
_atom_site_fract_z
Li1 0.012 0.250 0.110
Si1 0.027 0.250 0.353
Si2 0.231 0.250 0.731
P1 0.219 0.750 0.445
```

The following is a PBE calculation of a relaxed Ca3ZrMo crystal, from Alexandria.

Offset from the most stable computed form ... 0.7053 eV per atom
Total moment ... 0.00 μB per cell

```
data_Ca3ZrMo
_cell_length_a 5.424
_cell_length_b 5.424
_cell_length_c 5.424
_cell_angle_alpha 90.00
_cell_angle_beta 90.00
_cell_angle_gamma 90.00
_symmetry_space_group_name_H-M 'P m -3 m'
_symmetry_Int_Tables_number 221
_symmetry_space_group_name_Hall '-P 4 2 3'
loop_
_atom_site_label
_atom_site_fract_x
_atom_site_fract_y
_atom_site_fract_z
Ca1 0.000 0.000 0.500
Zr1 0.000 0.000 0.000
Mo1 0.500 0.500 0.500
```

The following is a PBE calculation of a relaxed Cd2InSn2 crystal, from Alexandria.

Offset from the most stable computed form ... 0.0419 eV per atom
Total moment ... 0.00 μB per cell

```
data_Cd2InSn2
_cell_length_a 8.631
_cell_length_b 8.631
_cell_length_c 3.584
_cell_angle_alpha 90.00
_cell_angle_beta 90.00
_cell_angle_gamma 90.00
_symmetry_space_group_name_H-M 'P 4/m b m'
_symmetry_Int_Tables_number 127
_symmetry_space_group_name_Hall '-P 4 2ab'
loop_
_atom_site_label
_atom_site_fract_x
_atom_site_fract_y
_atom_site_fract_z
Cd1 0.129 0.371 0.000
In1 0.000 0.000 0.000
Sn1 0.170 0.670 0.500
```

The following is a PBE calculation of a relaxed TmCdPd5 crystal, from Alexandria.

Offset from the most stable computed form ... 0.0828 eV per atom
Total moment ... 0.00 μB per cell

```
data_TmCdPd5
_cell_length_a 4.611
_cell_length_b 4.611
_cell_length_c 6.177
_cell_angle_alpha 90.00
_cell_angle_beta 90.00
_cell_angle_gamma 90.00
_symmetry_space_group_name_H-M 'P 4/m m m'
_symmetry_Int_Tables_number 123
_symmetry_space_group_name_Hall '-P 4 2'
loop_
_atom_site_label
_atom_site_fract_x
_atom_site_fract_y
_atom_site_fract_z
Tm1 0.000 0.000 0.000
Cd1 0.500 0.500 0.500
Pd1 0.000 0.000 0.500
Pd2 0.000 0.500 0.245
```

The following is a PBE calculation of a relaxed ZnFe3Rh4 crystal, from Alexandria.

Total moment ... 13.15 μB per cell
E ... -7.16 eV/atom

```
data_ZnFe3Rh4
_cell_length_a 3.008
_cell_length_b 4.267
_cell_length_c 8.528
_cell_angle_alpha 90.00
_cell_angle_beta 90.00
_cell_angle_gamma 90.00
_symmetry_space_group_name_H-M 'P m m m'
_symmetry_Int_Tables_number 47
loop_
_symmetry_equiv_pos_as_xyz
'x,y,z'
'-x,-y,-z'
'-x,-y,z'
'x,y,-z'
'x,-y,-z'
'-x,y,z'
'-x,y,-z'
'x,-y,z'
loop_
_atom_site_label
_atom_site_fract_x
_atom_site_fract_y
_atom_site_fract_z
Zn1 0.000 0.000 0.000
Fe1 0.000 0.000 0.500
Fe2 0.000 0.500 0.248
Rh1 0.500 0.000 0.255
Rh2 0.500 0.500 0.000
Rh3 0.500 0.500 0.500
```